This record from the Alexandria database describes a relaxed Ca8Mg4Zn crystal. The functional is PBE.

Its size of the total moment is 0.0 μB per formula unit. The calculation puts the formation energy at 1.220 eV per formula unit. Its offset from the most stable computed form is 0.0 meV/atom.

The structure belongs to space group I4/mmm (No. 139); the cell edges are 11.598, 11.598 and 6.793 Å and the angles 90.00°, 90.00° and 90.00°. The inequivalent atoms are Ca at (0.000, 0.216, 0.000), Ca at (0.000, 0.330, 0.500), Mg at (0.250, 0.250, 0.250) and Zn at (0.000, 0.000, 0.500).